[1]
# AlSiSeBr2 (GGA-PBE, relaxed)
# raw formation energy	111	meV/atom
# E above lowest polymorph	76.1	meV per atom
# N(E_F)	0.411	states/eV per atom
data_AlSiSeBr2
_cell_length_a 4.984
_cell_length_b 4.984
_cell_length_c 5.115
_cell_angle_alpha 90.00
_cell_angle_beta 90.00
_cell_angle_gamma 90.00
_symmetry_space_group_name_H-M 'P 4/m m m'
_symmetry_Int_Tables_number 123
_symmetry_space_group_name_Hall '-P 4 2'
loop_
_atom_site_label
_atom_site_type_symbol
_atom_site_fract_x
_atom_site_fract_y
_atom_site_fract_z
Al1 Al 0.000 0.000 0.000
Si1 Si 0.500 0.500 0.500
Se1 Se 0.000 0.000 0.500
Br1 Br 0.000 0.500 0.000

***

[2]
# AlSiSe2Br (GGA-PBE, relaxed)
# raw formation energy	135	meV/atom
# E above lowest polymorph	0.0	meV per atom
# N(E_F)	0.254	states/eV per atom
data_AlSiSe2Br
_cell_length_a 4.858
_cell_length_b 4.858
_cell_length_c 5.263
_cell_angle_alpha 90.00
_cell_angle_beta 90.00
_cell_angle_gamma 90.00
_symmetry_space_group_name_H-M 'P 4/m m m'
_symmetry_Int_Tables_number 123
_symmetry_space_group_name_Hall '-P 4 2'
loop_
_atom_site_label
_atom_site_type_symbol
_atom_site_fract_x
_atom_site_fract_y
_atom_site_fract_z
Al1 Al 0.000 0.000 0.000
Si1 Si 0.500 0.500 0.500
Se1 Se 0.000 0.500 0.500
Br1 Br 0.500 0.500 0.000

***

[3]
# AlSiSeBr2 (GGA-PBE, relaxed)
# raw formation energy	35	meV/atom
# E above lowest polymorph	0.0	meV per atom
# N(E_F)	0.721	states/eV per atom
data_AlSiSeBr2
_cell_length_a 5.233
_cell_length_b 5.233
_cell_length_c 4.912
_cell_angle_alpha 90.00
_cell_angle_beta 90.00
_cell_angle_gamma 90.00
_symmetry_space_group_name_H-M 'P 4/m m m'
_symmetry_Int_Tables_number 123
_symmetry_space_group_name_Hall '-P 4 2'
loop_
_atom_site_label
_atom_site_type_symbol
_atom_site_fract_x
_atom_site_fract_y
_atom_site_fract_z
Al1 Al 0.000 0.000 0.000
Si1 Si 0.500 0.500 0.500
Se1 Se 0.500 0.500 0.000
Br1 Br 0.000 0.500 0.500

***

[4]
# AlSnSeBr2 (GGA-PBE, relaxed)
# raw formation energy	-341	meV/atom
# E above lowest polymorph	0.0	meV per atom
# N(E_F)	0.488	states/eV per atom
data_AlSnSeBr2
_cell_length_a 5.089
_cell_length_b 5.089
_cell_length_c 5.119
_cell_angle_alpha 90.00
_cell_angle_beta 90.00
_cell_angle_gamma 90.00
_symmetry_space_group_name_H-M 'P 4/m m m'
_symmetry_Int_Tables_number 123
_symmetry_space_group_name_Hall '-P 4 2'
loop_
_atom_site_label
_atom_site_type_symbol
_atom_site_fract_x
_atom_site_fract_y
_atom_site_fract_z
Al1 Al 0.000 0.000 0.000
Sn1 Sn 0.500 0.500 0.500
Se1 Se 0.000 0.000 0.500
Br1 Br 0.000 0.500 0.000

***

[5]
# AlSnSe2Br (GGA-PBE, relaxed)
# raw formation energy	-330	meV/atom
# E above lowest polymorph	0.0	meV per atom
# N(E_F)	0.216	states/eV per atom
data_AlSnSe2Br
_cell_length_a 5.037
_cell_length_b 5.037
_cell_length_c 4.935
_cell_angle_alpha 90.00
_cell_angle_beta 90.00
_cell_angle_gamma 90.00
_symmetry_space_group_name_H-M 'P 4/m m m'
_symmetry_Int_Tables_number 123
_symmetry_space_group_name_Hall '-P 4 2'
loop_
_atom_site_label
_atom_site_type_symbol
_atom_site_fract_x
_atom_site_fract_y
_atom_site_fract_z
Al1 Al 0.000 0.000 0.000
Sn1 Sn 0.500 0.500 0.500
Se1 Se 0.000 0.500 0.000
Br1 Br 0.000 0.000 0.500

***

[6]
# AlSnSe2Br (GGA-PBE, relaxed)
# raw formation energy	95	meV/atom
# E above lowest polymorph	424.4	meV per atom
# N(E_F)	0.093	states/eV per atom
data_AlSnSe2Br
_cell_length_a 5.284
_cell_length_b 5.284
_cell_length_c 5.666
_cell_angle_alpha 90.00
_cell_angle_beta 90.00
_cell_angle_gamma 90.00
_symmetry_space_group_name_H-M 'P 4/m m m'
_symmetry_Int_Tables_number 123
_symmetry_space_group_name_Hall '-P 4 2'
loop_
_atom_site_label
_atom_site_type_symbol
_atom_site_fract_x
_atom_site_fract_y
_atom_site_fract_z
Al1 Al 0.000 0.000 0.000
Sn1 Sn 0.500 0.500 0.500
Se1 Se 0.000 0.500 0.500
Br1 Br 0.500 0.500 0.000

***

[7]
# AlSnSeBr2 (GGA-PBE, relaxed)
# raw formation energy	-107	meV/atom
# E above lowest polymorph	234.2	meV per atom
# N(E_F)	0.285	states/eV per atom
data_AlSnSeBr2
_cell_length_a 5.670
_cell_length_b 5.670
_cell_length_c 5.281
_cell_angle_alpha 90.00
_cell_angle_beta 90.00
_cell_angle_gamma 90.00
_symmetry_space_group_name_H-M 'P 4/m m m'
_symmetry_Int_Tables_number 123
_symmetry_space_group_name_Hall '-P 4 2'
loop_
_atom_site_label
_atom_site_type_symbol
_atom_site_fract_x
_atom_site_fract_y
_atom_site_fract_z
Al1 Al 0.000 0.000 0.000
Sn1 Sn 0.500 0.500 0.500
Se1 Se 0.500 0.500 0.000
Br1 Br 0.000 0.500 0.500

***

[8]
# SrAlSe2Br (GGA-PBE, relaxed)
# raw formation energy	-1119	meV/atom
# E above lowest polymorph	0.0	meV per atom
# N(E_F)	0.382	states/eV per atom
data_SrAlSe2Br
_cell_length_a 5.040
_cell_length_b 5.040
_cell_length_c 5.147
_cell_angle_alpha 90.00
_cell_angle_beta 90.00
_cell_angle_gamma 90.00
_symmetry_space_group_name_H-M 'P 4/m m m'
_symmetry_Int_Tables_number 123
_symmetry_space_group_name_Hall '-P 4 2'
loop_
_atom_site_label
_atom_site_type_symbol
_atom_site_fract_x
_atom_site_fract_y
_atom_site_fract_z
Sr1 Sr 0.000 0.000 0.000
Al1 Al 0.500 0.500 0.500
Se1 Se 0.000 0.500 0.500
Br1 Br 0.500 0.500 0.000

***

[9]
# SrAlSe2Br (GGA-PBE, relaxed)
# raw formation energy	-207	meV/atom
# E above lowest polymorph	911.9	meV per atom
# N(E_F)	1.024	states/eV per atom
data_SrAlSe2Br
_cell_length_a 5.932
_cell_length_b 5.932
_cell_length_c 5.891
_cell_angle_alpha 90.00
_cell_angle_beta 90.00
_cell_angle_gamma 90.00
_symmetry_space_group_name_H-M 'P 4/m m m'
_symmetry_Int_Tables_number 123
_symmetry_space_group_name_Hall '-P 4 2'
loop_
_atom_site_label
_atom_site_type_symbol
_atom_site_fract_x
_atom_site_fract_y
_atom_site_fract_z
Sr1 Sr 0.000 0.000 0.000
Al1 Al 0.500 0.500 0.500
Se1 Se 0.000 0.500 0.000
Br1 Br 0.000 0.000 0.500

***

[10]
# SrAlSeBr2 (GGA-PBE, relaxed)
# raw formation energy	-1088	meV/atom
# E above lowest polymorph	0.0	meV per atom
# N(E_F)	0.215	states/eV per atom
data_SrAlSeBr2
_cell_length_a 5.220
_cell_length_b 5.220
_cell_length_c 5.216
_cell_angle_alpha 90.00
_cell_angle_beta 90.00
_cell_angle_gamma 90.00
_symmetry_space_group_name_H-M 'P 4/m m m'
_symmetry_Int_Tables_number 123
_symmetry_space_group_name_Hall '-P 4 2'
loop_
_atom_site_label
_atom_site_type_symbol
_atom_site_fract_x
_atom_site_fract_y
_atom_site_fract_z
Sr1 Sr 0.000 0.000 0.000
Al1 Al 0.500 0.500 0.500
Se1 Se 0.500 0.500 0.000
Br1 Br 0.000 0.500 0.500

***

[11]
# SrAlSeBr2 (GGA-PBE, relaxed)
# raw formation energy	-630	meV/atom
# E above lowest polymorph	458.3	meV per atom
# N(E_F)	1.003	states/eV per atom
data_SrAlSeBr2
_cell_length_a 5.896
_cell_length_b 5.896
_cell_length_c 6.047
_cell_angle_alpha 90.00
_cell_angle_beta 90.00
_cell_angle_gamma 90.00
_symmetry_space_group_name_H-M 'P 4/m m m'
_symmetry_Int_Tables_number 123
_symmetry_space_group_name_Hall '-P 4 2'
loop_
_atom_site_label
_atom_site_type_symbol
_atom_site_fract_x
_atom_site_fract_y
_atom_site_fract_z
Sr1 Sr 0.000 0.000 0.000
Al1 Al 0.500 0.500 0.500
Se1 Se 0.000 0.000 0.500
Br1 Br 0.000 0.500 0.000

***

[12]
# TaAlSeBr2 (GGA-PBE, relaxed)
# raw formation energy	-23	meV/atom
# E above lowest polymorph	0.0	meV per atom
# N(E_F)	0.480	states/eV per atom
data_TaAlSeBr2
_cell_length_a 5.212
_cell_length_b 5.212
_cell_length_c 5.060
_cell_angle_alpha 90.00
_cell_angle_beta 90.00
_cell_angle_gamma 90.00
_symmetry_space_group_name_H-M 'P 4/m m m'
_symmetry_Int_Tables_number 123
_symmetry_space_group_name_Hall '-P 4 2'
loop_
_atom_site_label
_atom_site_type_symbol
_atom_site_fract_x
_atom_site_fract_y
_atom_site_fract_z
Ta1 Ta 0.000 0.000 0.000
Al1 Al 0.500 0.500 0.500
Se1 Se 0.000 0.000 0.500
Br1 Br 0.000 0.500 0.000